No. 1
The following is a PBE-GGA calculation of an optimized crystal structure of CaCoIr4, from Alexandria via LeMat-Bulk.

Cell lengths 5.2398, 5.2398, 5.2398 Å; angles 60.00, 60.00, 60.00 degrees
Fractional positions:
Ca 0.7500 0.7500 0.7500
Co 0.0000 0.0000 0.0000
Ir 0.8759 0.3747 0.3747
Ir 0.3747 0.3747 0.8759
Ir 0.3747 0.8759 0.3747
Ir 0.3747 0.3747 0.3747

Output
SG = F-43m (216)

---

No. 2
The following is a PBE-GGA calculation of an optimized crystal structure of CaCoIr2, from Alexandria via LeMat-Bulk.

Cell lengths 2.7695, 3.7642, 6.4241 Å; angles 90.00, 90.00, 90.00 degrees
Fractional positions:
Ca 0.0000 0.0000 0.5008
Ir 0.0000 0.0000 0.9844
Ir 0.5000 0.5000 0.2007
Co 0.5000 0.5000 0.8140

Output
SG = Pmm2 (25)

---

No. 3
The following is a PBE-GGA calculation of an optimized crystal structure of Ca2CoIr, from Alexandria via LeMat-Bulk.

Cell lengths 8.9444, 8.9444, 8.9444 Å; angles 21.07, 21.07, 21.07 degrees
Fractional positions:
Ca 0.0006 0.0006 0.0006
Ca 0.4994 0.4994 0.4994
Ir 0.7500 0.7500 0.7500
Co 0.2500 0.2500 0.2500

Output
SG = R-3m (166)

---

No. 4
The following is a PBE-GGA calculation of an optimized crystal structure of CaCoIr2, from Alexandria via LeMat-Bulk.

Cell lengths 4.8371, 4.8371, 4.8371 Å; angles 131.22, 131.22, 71.46 degrees
Fractional positions:
Ca 0.5000 0.5000 0.0000
Ir 0.0000 0.0000 0.0000
Ir 0.2500 0.7500 0.5000
Co 0.7500 0.2500 0.5000

Output
SG = I-4m2 (119)

---

No. 5
The following is a PBE-GGA calculation of an optimized crystal structure of Ca2CoIr, from Alexandria via LeMat-Bulk.

Cell lengths 4.7616, 4.7616, 4.7616 Å; angles 60.00, 60.00, 60.00 degrees
Fractional positions:
Ca 0.0000 0.0000 0.0000
Ca 0.2500 0.2500 0.2500
Ir 0.7500 0.7500 0.7500
Co 0.5000 0.5000 0.5000

Output
SG = F-43m (216)

---

No. 6
The following is a PBE-GGA calculation of an optimized crystal structure of CaCoIr, from Alexandria via LeMat-Bulk.

Cell lengths 4.4407, 4.4407, 4.4407 Å; angles 60.00, 60.00, 60.00 degrees
Fractional positions:
Ca 0.7500 0.7500 0.7500
Ir 0.5000 0.5000 0.5000
Co 0.0000 0.0000 0.0000

Output
SG = F-43m (216)

---

No. 7
The following is a PBE-GGA calculation of an optimized crystal structure of CaCoIr, from Alexandria via LeMat-Bulk.

Cell lengths 5.2197, 5.2197, 5.2197 Å; angles 90.72, 117.97, 121.23 degrees
Fractional positions:
Ca 0.2500 0.1253 0.8753
Ca 0.7500 0.8747 0.1247
Co 0.0000 0.5000 0.5000
Co 0.5000 0.0000 0.5000
Ir 0.5000 0.5000 0.5000
Ir 0.0000 0.5000 0.0000

Output
SG = Imma (74)

---

No. 8
The following is a PBE-GGA calculation of an optimized crystal structure of Ca2Co2Ir, from Alexandria via LeMat-Bulk.

Cell lengths 6.3511, 6.3511, 4.5446 Å; angles 90.00, 90.00, 90.00 degrees
Fractional positions:
Ca 0.1850 0.6850 0.5000
Ca 0.6850 0.8150 0.5000
Ca 0.8150 0.3150 0.5000
Ca 0.3150 0.1850 0.5000
Ir 0.0000 0.0000 0.0000
Ir 0.5000 0.5000 0.0000
Co 0.3764 0.8764 0.0000
Co 0.8764 0.6236 0.0000
Co 0.6236 0.1236 0.0000
Co 0.1236 0.3764 0.0000

Output
SG = P4/mbm (127)

---

No. 9
The following is a PBE-GGA calculation of an optimized crystal structure of CaCoIr2, from Alexandria via LeMat-Bulk.

Cell lengths 4.8868, 4.8868, 2.7705 Å; angles 90.00, 90.00, 110.43 degrees
Fractional positions:
Ca 0.5000 0.0000 0.5000
Ir 0.0000 0.0000 0.0000
Ir 0.5000 0.5000 0.0000
Co 0.0000 0.5000 0.5000

Output
SG = Cmmm (65)

---

No. 10
The following is a PBE-GGA calculation of an optimized crystal structure of CaCoIr2, from Alexandria via LeMat-Bulk.

Cell lengths 2.8421, 2.8421, 7.7690 Å; angles 90.00, 90.00, 90.00 degrees
Fractional positions:
Ca 0.5000 0.5000 0.2500
Ir 0.0000 0.0000 0.9507
Ir 0.0000 0.0000 0.5493
Co 0.5000 0.5000 0.7500

Output
SG = P4/mmm (123)

---

No. 11
The following is a PBE-GGA calculation of an optimized crystal structure of CaCo2Ir2, from Alexandria via LeMat-Bulk.

Cell lengths 4.1715, 4.1715, 5.7643 Å; angles 68.79, 68.79, 90.00 degrees
Fractional positions:
Ca 0.0000 0.0000 0.0000
Ir 0.3772 0.3772 0.2456
Ir 0.6228 0.6228 0.7544
Co 0.7500 0.2500 0.5000
Co 0.2500 0.7500 0.5000

Output
SG = I4/mmm (139)

---

No. 12
The following is a PBE-GGA calculation of an optimized crystal structure of CaCo4Ir, from Alexandria via LeMat-Bulk.

Cell lengths 4.8825, 4.8825, 4.8825 Å; angles 60.00, 60.00, 60.00 degrees
Fractional positions:
Ca 0.0000 0.0000 0.0000
Co 0.8748 0.3751 0.3751
Co 0.3751 0.3751 0.8748
Co 0.3751 0.8748 0.3751
Co 0.3751 0.3751 0.3751
Ir 0.7500 0.7500 0.7500

Output
SG = F-43m (216)

---

No. 13
The following is a PBE-GGA calculation of an optimized crystal structure of Ca2CoIr, from Alexandria via LeMat-Bulk.

Cell lengths 3.3266, 3.7896, 6.4279 Å; angles 90.00, 90.00, 90.00 degrees
Fractional positions:
Ca 0.0000 0.0000 0.9917
Ca 0.0000 0.0000 0.5083
Ir 0.5000 0.5000 0.7500
Co 0.5000 0.5000 0.2500

Output
SG = Pmmm (47)

---

No. 14
The following is a PBE-GGA calculation of an optimized crystal structure of CaCoIr, from Alexandria via LeMat-Bulk.

Cell lengths 5.6022, 5.6022, 5.5906 Å; angles 81.34, 130.23, 120.39 degrees
Fractional positions:
Ca 0.2501 0.6291 0.8792
Ca 0.7499 0.3709 0.1208
Ir 0.0000 0.0000 0.5000
Ir 0.5000 0.5000 0.5000
Co 0.2503 0.0207 0.2710
Co 0.7497 0.9793 0.7290

Output
SG = C2/m (12)

---

No. 15
The following is a PBE-GGA calculation of an optimized crystal structure of Ca2CoIr, from Alexandria via LeMat-Bulk.

Cell lengths 7.6819, 7.6819, 6.1103 Å; angles 51.05, 51.05, 90.00 degrees
Fractional positions:
Ca 0.6228 0.1250 0.2500
Ca 0.1272 0.6250 0.2500
Ca 0.3750 0.3772 0.7500
Ca 0.8750 0.8728 0.7500
Ir 0.0000 0.0000 0.0000
Ir 0.7500 0.2500 0.5000
Co 0.5000 0.5000 0.0000
Co 0.2500 0.7500 0.5000

Output
SG = I-42d (122)

---

ΔH_f (0 K) per entry: 0.145 0.166 0.421 0.288 0.237 1.248 -0.226 0.020 0.229 0.064 0.019 0.123 0.208 0.068 0.445 eV/atom
Spin magnetization per entry: 4.03 1.81 1.11 0.52 1.72 2.19 1.41 2.13 1.13 0.49 4.09 7.35 1.28 1.98 1.72 μB/f.u.